1.
The following is a DFT calculation (GGA-PBE) of a relaxed Dy3NpTl3S8 crystal.

Computed properties:
crystal system = trigonal
formation energy without anion corrections = -139.4 kJ per mole of atoms

Cell lengths 8.031, 8.030, 8.881 Å; angles 116.90, 90.00, 120.00 degrees
Site moments in Bohr magnetons follow the coordinates.
Element x y z (fractional)
1 Dy 0.500 0.000 0.500  0.01
2 Dy 0.500 0.500 0.500  0.01
3 Dy 0.000 0.500 0.500  0.01
4 Np 0.000 0.000 0.500  3.19
5 Tl 0.000 0.000 0.000  0.00
6 Tl 0.000 0.500 0.000  0.00
7 Tl 0.500 0.500 0.000  0.00
8 S 0.268 0.536 0.303  0.00
9 S 0.732 0.464 0.697  0.00
10 S 0.772 0.544 0.307  -0.04
11 S 0.228 0.456 0.693  -0.04
12 S 0.772 0.035 0.307  -0.04
13 S 0.228 0.965 0.693  -0.04
14 S 0.263 0.035 0.307  -0.04
15 S 0.737 0.965 0.693  -0.04



2.
The following is a DFT calculation (GGA-PBE) of a relaxed Ba2ThMg2Sb4 crystal.

Computed properties:
crystal system = monoclinic
formation energy without anion corrections = -83.9 kJ per mole of atoms

Cell lengths 4.654, 8.313, 8.752 Å; angles 108.80, 105.42, 90.00 degrees
Element x y z (fractional)
1 Ba 0.131 0.569 0.262
2 Ba 0.869 0.431 0.738
3 Th 0.000 0.000 0.000
4 Mg 0.676 0.991 0.353
5 Mg 0.324 0.009 0.647
6 Sb 0.204 0.204 0.409
7 Sb 0.796 0.796 0.591
8 Sb 0.512 0.745 0.023
9 Sb 0.488 0.255 0.977